# 1
Material: ReHgBi
Method: DFT, PBE
State: optimized geometry

- Excess energy over the best structure of this formula in the dataset: 0 meV/atom
- Calculated density: 13.86 g/cm3
- SG: No. 216

a = 4.6567 Å, b = 4.6567 Å, c = 4.6567 Å
α = 60.00°, β = 60.00°, γ = 60.00°
With the nearest neighbours (Å) after each atom.
Fractional coordinates of all 3 atoms:
Re  0.0000  0.0000  0.0000  4 Hg 2.85, 4 Bi 2.85
Hg  0.2500  0.2500  0.2500  4 Re 2.85
Bi  0.7500  0.7500  0.7500  4 Re 2.85

---

# 2
Material: HgBi2S4
Method: DFT, PBE
State: optimized geometry

- Energy: -3.860 eV/atom
- Calculated density: 6.67 g/cm3
- SG: No. 12

a = 7.5563 Å, b = 7.5563 Å, c = 14.2581 Å
α = 117.70°, β = 117.70°, γ = 31.43°
With the nearest neighbours (Å) after each atom.
Fractional coordinates of all 14 atoms:
Hg  0.0000  0.0000  0.0000  2 S 2.39
Hg  0.0000  0.0000  0.5000  2 S 2.40
Bi  0.2234  0.2234  0.8682  5 S 2.66-2.91
Bi  0.3488  0.3488  0.6363  5 S 2.62-2.87
Bi  0.6512  0.6512  0.3637  5 S 2.62-2.87
Bi  0.7766  0.7766  0.1318  5 S 2.66-2.91
S  0.0009  0.0009  0.3320  1 Hg 2.40
S  0.1563  0.1563  0.1702  1 Hg 2.39
S  0.3074  0.3074  0.4358  3 Bi 2.62-2.86
S  0.3713  0.3713  0.0724  3 Bi 2.66-2.82
S  0.6287  0.6287  0.9276  3 Bi 2.66-2.82
S  0.6926  0.6926  0.5642  3 Bi 2.62-2.86
S  0.8437  0.8437  0.8298  1 Hg 2.39
S  0.9991  0.9991  0.6680  1 Hg 2.40

---

# 3
Material: TlHgBiS3
Method: DFT, PBE
State: optimized geometry

- Energy: -3.453 eV/atom
- Calculated density: 6.81 g/cm3
- SG: No. 63

a = 7.8275 Å, b = 7.8275 Å, c = 10.9634 Å
α = 90.00°, β = 90.00°, γ = 148.98°
With the nearest neighbours (Å) after each atom.
Fractional coordinates of all 12 atoms:
Tl  0.1865  0.8135  0.7500  4 S 2.98-3.23
Tl  0.8135  0.1865  0.2500  4 S 2.98-3.23
Hg  0.1111  0.8889  0.2500  2 S 2.39
Hg  0.8889  0.1111  0.7500  2 S 2.39
Bi  0.5000  0.5000  0.0000  6 S 2.83-2.87
Bi  0.5000  0.5000  0.5000  6 S 2.83-2.87
S  0.1277  0.8723  0.0333  1 Hg 2.39
S  0.1277  0.8723  0.4667  1 Hg 2.39
S  0.4542  0.5458  0.2500  2 Bi 2.83, 2 Tl 2.98, 2 Hg 3.16
S  0.5458  0.4542  0.7500  2 Bi 2.83, 2 Tl 2.98, 2 Hg 3.16
S  0.8723  0.1277  0.5333  1 Hg 2.39
S  0.8723  0.1277  0.9667  1 Hg 2.39

---

# 4
Material: HgBi2Sb
Method: DFT, PBE
State: optimized geometry

- Energy: -2.961 eV/atom
- Calculated density: 10.73 g/cm3
- SG: No. 216

a = 5.4510 Å, b = 5.4510 Å, c = 5.4510 Å
α = 60.00°, β = 60.00°, γ = 60.00°
With the nearest neighbours (Å) after each atom.
Fractional coordinates of all 4 atoms:
Hg  0.0000  0.0000  0.0000  4 Bi 3.34, 4 Sb 3.34
Bi  0.5000  0.5000  0.5000  4 Bi 3.34, 4 Sb 3.34
Bi  0.7500  0.7500  0.7500  4 Hg 3.34, 4 Bi 3.34
Sb  0.2500  0.2500  0.2500  4 Hg 3.34, 4 Bi 3.34

---

# 5
Material: Hg2BiSb
Method: DFT, PBE
State: optimized geometry

- Energy: -2.073 eV/atom
- Calculated density: 10.91 g/cm3
- SG: No. 216

a = 5.4013 Å, b = 5.4013 Å, c = 5.4013 Å
α = 60.00°, β = 60.00°, γ = 60.00°
With the nearest neighbours (Å) after each atom.
Fractional coordinates of all 4 atoms:
Hg  0.0000  0.0000  0.0000  4 Hg 3.31, 4 Bi 3.31
Hg  0.2500  0.2500  0.2500  4 Sb 3.31, 4 Hg 3.31
Bi  0.7500  0.7500  0.7500  4 Sb 3.31, 4 Hg 3.31
Sb  0.5000  0.5000  0.5000  4 Bi 3.31, 4 Hg 3.31

---

# 6
Material: HgBiSb
Method: DFT, PBE
State: optimized geometry

- Energy: -2.703 eV/atom
- Calculated density: 8.73 g/cm3
- SG: No. 216

a = 5.2289 Å, b = 5.2289 Å, c = 5.2289 Å
α = 60.00°, β = 60.00°, γ = 60.00°
With the nearest neighbours (Å) after each atom.
Fractional coordinates of all 3 atoms:
Hg  0.0000  0.0000  0.0000  4 Sb 3.20
Bi  0.5000  0.5000  0.5000  4 Sb 3.20
Sb  0.7500  0.7500  0.7500  4 Bi 3.20, 4 Hg 3.20